DFT (PBE-GGA) results for Ac2UP3Pt4 after structural relaxation.

Geometry as extended XYZ:
```
10
Lattice="-3.0631 -2.3647 1.7488 2.8892 -1.9471 2.4276 -1.4913 7.9744 8.1708" Properties=species:S:1:pos:R:3 pbc="T T T"
P -0.7456 3.9872 4.0854
P 1.2712 -0.0464 2.1639
Pt -0.0869 -2.1559 2.0882
U -0.8326 1.8313 6.1736
Pt 0.0000 0.0000 0.0000
Pt 0.9561 1.6387 3.8904
Ac 0.2905 5.1982 7.5376
Pt -2.5343 4.1798 6.3686
Ac -1.8686 0.6203 2.7214
P -2.8494 5.8648 8.0951
```

Energy: -6.8420 eV per atom
Space-group type: No. 115
DFT formation energy: -8.52 eV per formula unit